Here is a relaxed structure of Mg2TcBi from OQMD via LeMat-Bulk. Energies are from PBE-GGA.

```
data_Mg2TcBi
_space_group_name_H-M_alt 'P 1'
_space_group_IT_number 1
_space_group_name_Hall 'P 1'
_cell_length_a 4.816
_cell_length_b 4.816
_cell_length_c 4.816
_cell_angle_alpha 60.00
_cell_angle_beta 60.00
_cell_angle_gamma 60.00
loop_
_atom_site_label
_atom_site_fract_x
_atom_site_fract_y
_atom_site_fract_z
_atom_site_occupancy
Bi1 0.500 0.500 0.500 1
Mg1 0.000 0.000 0.000 1
Mg2 0.750 0.750 0.750 1
Tc1 0.250 0.250 0.250 1
```

Computed properties:
Space group: F-43m
Total magnetization: 0.9 μB/f.u.
Uncorrected energy: -16.01 eV per cell

=====

Here is a relaxed structure of RbAg2PSeS3 from OQMD via LeMat-Bulk. Energies are from PBE-GGA.

```
data_RbAg2PSeS3
_space_group_name_H-M_alt 'P 1'
_space_group_IT_number 1
_space_group_name_Hall 'P 1'
_cell_length_a 6.437
_cell_length_b 6.437
_cell_length_c 6.412
_cell_angle_alpha 116.28
_cell_angle_beta 116.28
_cell_angle_gamma 95.55
loop_
_atom_site_label
_atom_site_fract_x
_atom_site_fract_y
_atom_site_fract_z
_atom_site_occupancy
Ag1 0.752 0.239 0.495 1
Ag2 0.239 0.752 0.495 1
P1 0.012 0.012 0.014 1
Rb1 0.494 0.494 0.988 1
S1 0.963 0.321 0.006 1
S2 0.321 0.963 0.006 1
S3 0.044 0.044 0.364 1
Se1 0.675 0.675 0.632 1
```

Computed properties:
Space group: Cm
Uncorrected energy: -31.47 eV per cell

=====

Here is a relaxed structure of PmPaTl from OQMD via LeMat-Bulk. Energies are from PBE-GGA.

```
data_PmPaTl
_space_group_name_H-M_alt 'P 1'
_space_group_IT_number 1
_space_group_name_Hall 'P 1'
_cell_length_a 5.209
_cell_length_b 5.209
_cell_length_c 5.209
_cell_angle_alpha 60.00
_cell_angle_beta 60.00
_cell_angle_gamma 60.00
loop_
_atom_site_label
_atom_site_fract_x
_atom_site_fract_y
_atom_site_fract_z
_atom_site_occupancy
Pa1 0.250 0.250 0.250 1
Pm1 0.750 0.750 0.750 1
Tl1 0.000 0.000 0.000 1
```

Computed properties:
Energy relative to the lowest polymorph listed for this composition: 0.00 kJ/mol of atoms
Space group: F-43m
Total magnetization: 2.1 μB/f.u.

=====

Here is a relaxed structure of TbDyInCu2 from OQMD via LeMat-Bulk. Energies are from PBE-GGA.

```
data_TbDyInCu2
_space_group_name_H-M_alt 'P 1'
_space_group_IT_number 1
_space_group_name_Hall 'P 1'
_cell_length_a 3.603
_cell_length_b 7.317
_cell_length_c 7.317
_cell_angle_alpha 33.96
_cell_angle_beta 90.00
_cell_angle_gamma 90.00
loop_
_atom_site_label
_atom_site_fract_x
_atom_site_fract_y
_atom_site_fract_z
_atom_site_occupancy
Cu1 0.500 0.202 0.202 1
Cu2 0.500 0.799 0.799 1
Dy1 0.000 0.367 0.367 1
In1 0.500 0.000 0.000 1
Tb1 0.000 0.633 0.633 1
```

Computed properties:
Space group: Amm2
Total magnetization: 0.0 μB/f.u.
Uncorrected energy: -21.31 eV per cell

=====

Here is a relaxed structure of NaPr2TaO6 from OQMD via LeMat-Bulk. Energies are from PBE-GGA.

```
data_NaPr2TaO6
_space_group_name_H-M_alt 'P 1'
_space_group_IT_number 1
_space_group_name_Hall 'P 1'
_cell_length_a 5.620
_cell_length_b 5.955
_cell_length_c 9.746
_cell_angle_alpha 90.00
_cell_angle_beta 123.99
_cell_angle_gamma 90.00
loop_
_atom_site_label
_atom_site_fract_x
_atom_site_fract_y
_atom_site_fract_z
_atom_site_occupancy
Na1 0.500 0.500 0.000 1
Na2 0.500 0.000 0.500 1
O1 0.344 0.175 0.053 1
O2 0.239 0.718 0.071 1
O3 0.108 0.053 0.231 1
O4 0.892 0.553 0.269 1
O5 0.761 0.218 0.429 1
O6 0.656 0.675 0.447 1
O7 0.344 0.325 0.553 1
O8 0.239 0.782 0.571 1
O9 0.108 0.447 0.731 1
O10 0.892 0.947 0.769 1
O11 0.761 0.282 0.929 1
O12 0.656 0.825 0.947 1
Pr1 0.726 0.935 0.246 1
Pr2 0.274 0.435 0.254 1
Pr3 0.726 0.565 0.746 1
Pr4 0.274 0.065 0.754 1
Ta1 0.000 0.000 0.000 1
Ta2 0.000 0.500 0.500 1
```

Computed properties:
Space group: P2_1/c
Total magnetization: 0.0 μB/f.u.
Uncorrected energy: -165.11 eV per cell

=====

Here is a relaxed structure of Zr2Sc2Cd from OQMD via LeMat-Bulk. Energies are from PBE-GGA.

```
data_Zr2Sc2Cd
_space_group_name_H-M_alt 'P 1'
_space_group_IT_number 1
_space_group_name_Hall 'P 1'
_cell_length_a 4.044
_cell_length_b 4.044
_cell_length_c 8.133
_cell_angle_alpha 104.39
_cell_angle_beta 104.39
_cell_angle_gamma 90.00
loop_
_atom_site_label
_atom_site_fract_x
_atom_site_fract_y
_atom_site_fract_z
_atom_site_occupancy
Cd1 0.000 0.000 0.000 1
Sc1 0.595 0.595 0.191 1
Sc2 0.405 0.405 0.809 1
Zr1 0.750 0.250 0.500 1
Zr2 0.250 0.750 0.500 1
```

Computed properties:
Space group: I4/mmm
Total magnetization: 0.0 μB/f.u.
Uncorrected energy: -28.74 eV per cell